20
Lattice="-0.163 -0.828 10.151 -7.809 -4.642 4.606 1.351 -9.091 4.391" Properties=species:S:1:pos:R:3 comment="RbScBr3, optimized geometry, DFT PBE-GGA" spacegroup="No. 227" pbc="T T T"
Br 0.118 -4.680 6.745
Br -6.036 -5.682 6.565
Br -2.896 -6.184 4.560
Br -6.135 -6.184 12.714
Br -3.429 -2.600 2.829
Br -0.415 -1.097 5.014
Br -0.585 -8.879 12.583
Br 0.182 -4.354 2.744
Br -5.217 -11.189 9.225
Br -0.487 -8.377 6.434
Br -1.404 -3.372 9.924
Br -3.493 -2.927 6.830
Sc -0.828 -1.820 2.394
Sc -0.909 -2.234 7.469
Sc -0.152 -6.366 4.589
Sc -4.732 -4.141 4.697
Rb -0.234 -6.780 9.664
Rb -4.138 -9.101 11.968
Rb -4.057 -8.687 6.892
Rb -4.814 -4.555 9.772

10
Lattice="3.733 0.000 0.051 0.000 9.248 0.000 -1.994 0.000 9.551" Properties=species:S:1:pos:R:3 comment="RbScBr3, optimized geometry, DFT PBE-GGA" spacegroup="No. 63" pbc="T T T"
Br -1.022 4.045 6.613
Br 2.760 8.669 2.989
Br -1.022 0.579 6.613
Br 0.810 6.936 9.309
Br 0.928 2.312 0.293
Br 2.760 5.203 2.989
Rb 0.856 6.936 5.824
Rb 0.882 2.312 3.778
Sc 0.911 6.936 1.740
Sc 0.828 2.312 7.862

13
Lattice="7.227 0.000 -2.862 -0.647 6.731 -1.634 -0.492 0.031 9.312" Properties=species:S:1:pos:R:3 comment="Rb2Sc3Br8, optimized geometry, DFT PBE-GGA" spacegroup="No. 12" pbc="T T T"
Br 5.837 2.587 -1.280
Br 0.103 5.934 0.259
Br 5.985 0.828 4.556
Br 3.600 6.226 -1.465
Br 2.096 2.587 0.202
Br 2.488 0.536 6.281
Br 3.991 4.175 4.614
Br 0.251 4.175 6.096
Rb 1.420 2.144 3.585
Rb 4.668 4.618 1.231
Sc 1.599 0.000 -0.633
Sc -0.324 3.366 -0.817
Sc 5.628 0.000 -2.229

5
Lattice="-4.802 -1.429 -4.430 -1.549 -5.511 3.457 -4.390 3.508 3.626" Properties=species:S:1:pos:R:3 comment="Rb3ScBr, optimized geometry, DFT PBE-GGA" spacegroup="No. 221" pbc="T T T"
Rb -2.401 -0.715 -2.215
Rb -2.195 1.754 1.813
Rb -0.774 -2.756 1.729
Sc -5.370 -1.716 1.326
Br 0.000 0.000 0.000

Number 1: spin magnetization 0.19 μB per atom, uncorrected formation energy -7.45 eV per formula unit. Number 2: spin magnetization 0.20 μB per atom, uncorrected formation energy -7.38 eV per formula unit. Number 3: spin magnetization 0.24 μB per atom, uncorrected formation energy -20.27 eV per formula unit. Number 4: spin magnetization 0.49 μB per atom, uncorrected formation energy -0.49 eV per formula unit.